(1)
Below is a geometry-optimized Rb2CaTe2 structure, with properties calculated at the PBE-GGA level.

a b c (Å): 7.651 8.489 9.262
angles (deg): 117.27 114.39 90.00
Fractional coordinates of all 10 atoms:
Rb  0.355  0.000  0.709
Rb  0.645  0.000  0.291
Rb  0.145  0.291  0.291
Rb  0.855  0.709  0.709
Te  0.107  0.821  0.214
Te  0.893  0.179  0.786
Te  0.607  0.393  0.214
Te  0.393  0.607  0.786
Ca  0.750  0.500  0.000
Ca  0.250  0.500  0.000

- Raw formation energy: -1.228 eV per atom
- E above lowest polymorph: 0 meV/atom
- D(E_F): 0.0 states/eV/cell


(2)
Below is a geometry-optimized NdY7 structure, with properties calculated at the PBE-GGA level.

a b c (Å): 3.549 8.840 8.840
angles (deg): 79.00 78.42 78.42
Fractional coordinates of all 8 atoms:
Y  0.000  0.500  0.500
Y  0.367  0.863  0.403
Y  0.258  0.242  0.242
Y  0.633  0.137  0.597
Y  0.633  0.597  0.137
Y  0.367  0.403  0.863
Y  0.742  0.758  0.758
Nd  0.000  0.000  0.000

- ΔH_f (0 K): 0.028 eV/atom
- E above lowest polymorph: 7 meV/atom
- D(E_F): 11.8 states/eV/cell


> Look up the E above lowest polymorph of the second one.

7 meV/atom